1.
Density functional theory data (PBE) for a relaxed K2As2Pd2Pt crystal.

Cell and atoms, written as CIF:
```
data_K2As2Pd2Pt
_space_group_name_H-M_alt 'P 1'
_space_group_IT_number 1
_space_group_name_Hall 'P 1'
_cell_length_a 7.017
_cell_length_b 7.017
_cell_length_c 8.498
_cell_angle_alpha 125.50
_cell_angle_beta 125.50
_cell_angle_gamma 37.55
loop_
_atom_site_label
_atom_site_type_symbol
_atom_site_fract_x
_atom_site_fract_y
_atom_site_fract_z
_atom_site_occupancy
K1 K 0.047 0.047 0.284 1
K2 K 0.953 0.953 0.716 1
As1 As 0.279 0.279 0.221 1
As2 As 0.721 0.721 0.779 1
Pd1 Pd 0.267 0.267 0.918 1
Pd2 Pd 0.733 0.733 0.082 1
Pt1 Pt 0.500 0.500 0.500 1
```

Its crystal system is monoclinic. For the raw total energy, the calculation gives -30.73 eV/f.u. Its spin magnetization is 0.00 μB/cell. The formation energy comes out at -0.401 eV per atom. As for the density of states at the Fermi level: 2.3 states/eV/cell. As for the space group: No. 12.


2.
Density functional theory data (PBE) for a relaxed Li2ZnHg5 crystal.

Cell and atoms, written as CIF:
```
data_Li2ZnHg5
_space_group_name_H-M_alt 'P 1'
_space_group_IT_number 1
_space_group_name_Hall 'P 1'
_cell_length_a 6.263
_cell_length_b 11.745
_cell_length_c 4.550
_cell_angle_alpha 90.00
_cell_angle_beta 90.00
_cell_angle_gamma 90.00
loop_
_atom_site_label
_atom_site_type_symbol
_atom_site_fract_x
_atom_site_fract_y
_atom_site_fract_z
_atom_site_occupancy
Li1 Li 0.183 0.136 0.000 1
Li2 Li 0.317 0.636 0.000 1
Li3 Li 0.683 0.364 0.000 1
Li4 Li 0.817 0.864 0.000 1
Zn1 Zn 0.000 0.500 0.500 1
Zn2 Zn 0.500 0.000 0.500 1
Hg1 Hg 0.000 0.000 0.500 1
Hg2 Hg 0.075 0.735 0.500 1
Hg3 Hg 0.201 0.394 0.000 1
Hg4 Hg 0.299 0.894 0.000 1
Hg5 Hg 0.425 0.235 0.500 1
Hg6 Hg 0.500 0.500 0.500 1
Hg7 Hg 0.575 0.765 0.500 1
Hg8 Hg 0.701 0.106 0.000 1
Hg9 Hg 0.799 0.606 0.000 1
Hg10 Hg 0.925 0.265 0.500 1
```

Its crystal system is orthorhombic. For the raw total energy, the calculation gives -7.86 eV/f.u. Its spin magnetization is 0.00 μB/cell. The formation energy comes out at -0.156 eV per atom. As for the density of states at the Fermi level: 4.8 states/eV/cell. As for the space group: No. 55.


3.
Density functional theory data (PBE) for a relaxed La2YZr crystal.

Cell and atoms, written as CIF:
```
data_La2YZr
_space_group_name_H-M_alt 'P 1'
_space_group_IT_number 1
_space_group_name_Hall 'P 1'
_cell_length_a 5.602
_cell_length_b 5.602
_cell_length_c 5.602
_cell_angle_alpha 60.00
_cell_angle_beta 60.00
_cell_angle_gamma 60.00
loop_
_atom_site_label
_atom_site_type_symbol
_atom_site_fract_x
_atom_site_fract_y
_atom_site_fract_z
_atom_site_occupancy
La1 La 0.250 0.250 0.250 1
La2 La 0.750 0.750 0.750 1
Y1 Y 0.000 0.000 0.000 1
Zr1 Zr 0.500 0.500 0.500 1
```

Its crystal system is cubic. Its energy above the most stable polymorph in this dataset is 0.35 eV/f.u. For the raw total energy, the calculation gives -24.12 eV/f.u. Its spin magnetization is 0.01 μB/cell. The formation energy comes out at 0.187 eV per atom. As for the density of states at the Fermi level: 5.9 states/eV/cell. As for the space group: No. 225.


> The highest spin magnetization belongs to which entry?

La2YZr


> Which formula does entry 1 have?

K2As2Pd2Pt


> Look up the spin magnetization of the third one.

0.01 μB/cell


> Which of these has the lowest raw total energy?

K2As2Pd2Pt